Record 1
VASP calculation (PBE) on crystalline SrCaBiSb at its relaxed geometry.

POSCAR file:
```
SrCaBiSb
1.0
0.0000 4.0250 4.0250
4.0250 0.0000 4.0250
4.0250 4.0250 0.0000
Sr Ca Bi Sb
1 1 1 1
direct
0.0000 0.0000 0.0000 Sr
0.5000 0.5000 0.5000 Ca
0.7500 0.7500 0.7500 Bi
0.2500 0.2500 0.2500 Sb
```

## Properties
* calculated density: 5.84 g/cm3
* symmetry: F-43m
* crystal system: cubic
* total energy: -3.6535 eV per atom
* Fermi-level density of states: 3.43 states/eV per cell



Record 2
VASP calculation (PBE) on crystalline Er2HgBi at its relaxed geometry.

POSCAR file:
```
Er2HgBi
1.0
2.1194 1.2236 7.7353
-2.1194 1.2236 7.7353
0.0000 -2.4473 7.7353
Er Hg Bi
2 1 1
direct
0.0000 0.0000 0.0000 Er
0.1690 0.1690 0.1690 Er
0.4166 0.4166 0.4166 Hg
0.5851 0.5851 0.5851 Bi
```

## Properties
* calculated density: 10.27 g/cm3
* ΔE to the lowest computed polymorph: 0.144 eV per atom
* formation energy: -436 meV per atom
* symmetry: R3m
* crystal system: trigonal
* total energy: -3.7627 eV per atom
* Fermi-level density of states: 2.85 states/eV per cell



Record 3
VASP calculation (PBE) on crystalline Y2MgGa2Pt5 at its relaxed geometry.

POSCAR file:
```
Y2MgGa2Pt5
1.0
9.7603 0.0000 0.0000
0.0000 9.7603 0.0000
0.0000 0.0000 3.7975
Y Mg Ga Pt
4 2 4 10
direct
0.1748 0.3252 0.0000 Y
0.3252 0.8252 0.0000 Y
0.6748 0.1748 0.0000 Y
0.8252 0.6748 0.0000 Y
0.0000 0.0000 0.0000 Mg
0.5000 0.5000 0.0000 Mg
0.1245 0.6245 0.0000 Ga
0.3755 0.1245 0.0000 Ga
0.6245 0.8755 0.0000 Ga
0.8755 0.3755 0.0000 Ga
0.0000 0.5000 0.5000 Pt
0.0645 0.7934 0.5000 Pt
0.2066 0.0645 0.5000 Pt
0.2934 0.5645 0.5000 Pt
0.4355 0.2934 0.5000 Pt
0.5000 0.0000 0.5000 Pt
0.5645 0.7066 0.5000 Pt
0.7066 0.4355 0.5000 Pt
0.7934 0.9355 0.5000 Pt
0.9355 0.2066 0.5000 Pt
```

## Properties
* calculated density: 12.09 g/cm3
* formation energy: -916 meV per atom
* symmetry: P4/mbm
* crystal system: tetragonal
* total energy: -5.9942 eV per atom
* Fermi-level density of states: 9.64 states/eV per cell



Record 4
VASP calculation (PBE) on crystalline Ho2Ga3Ru at its relaxed geometry.

POSCAR file:
```
Ho2Ga3Ru
1.0
-2.3015 2.7106 5.0089
2.3015 -2.7106 5.0089
2.3015 2.7106 -5.0089
Ho Ga Ru
2 3 1
direct
0.1990 0.1990 0.0000 Ho
0.8010 0.8010 0.0000 Ho
0.0000 0.5000 0.5000 Ga
0.3758 0.8758 0.5000 Ga
0.6242 0.1242 0.5000 Ga
0.5000 0.5000 0.0000 Ru
```

## Properties
* calculated density: 8.50 g/cm3
* formation energy: -286 meV per atom
* symmetry: Immm
* crystal system: orthorhombic
* total energy: -4.8708 eV per atom
* Fermi-level density of states: 4.78 states/eV per cell



Record 5
VASP calculation (PBE) on crystalline AcSiTe3 at its relaxed geometry.

POSCAR file:
```
AcSiTe3
1.0
5.3696 0.0000 0.0000
0.0000 5.3696 0.0000
0.0000 0.0000 5.3696
Ac Si Te
1 1 3
direct
0.0000 0.0000 0.0000 Ac
0.5000 0.5000 0.5000 Si
0.0000 0.5000 0.5000 Te
0.5000 0.0000 0.5000 Te
0.5000 0.5000 0.0000 Te
```

## Properties
* calculated density: 6.84 g/cm3
* ΔE to the lowest computed polymorph: 0.328 eV per atom
* symmetry: Pm-3m
* crystal system: cubic
* total energy: -4.3402 eV per atom
* Fermi-level density of states: 0.38 states/eV per cell



Record 6
VASP calculation (PBE) on crystalline SrNi2Te at its relaxed geometry.

POSCAR file:
```
SrNi2Te
1.0
-2.0689 2.0689 4.7268
2.0689 -2.0689 4.7268
2.0689 2.0689 -4.7268
Sr Ni Te
1 2 1
direct
0.0000 0.0000 0.0000 Sr
0.5000 0.5000 0.0000 Ni
0.7500 0.2500 0.5000 Ni
0.2500 0.7500 0.5000 Te
```

## Properties
* calculated density: 6.82 g/cm3
* ΔE to the lowest computed polymorph: 0.480 eV per atom
* symmetry: I-4m2
* crystal system: tetragonal
* total energy: -3.9919 eV per atom
* Fermi-level density of states: 1.88 states/eV per cell